Model 1:
A relaxed TiNbTcW crystal. Source: the Alexandria database, functional GGA-PBE.

Summary:
Space group: F-43m, No. 216

a = 4.499 Å, b = 4.499 Å, c = 4.499 Å
α = 60.00°, β = 60.00°, γ = 60.00°
Element x y z (fractional)
Tc 0.000 0.000 0.000
Nb 0.750 0.750 0.750
W 0.500 0.500 0.500
Ti 0.250 0.250 0.250


Model 2:
A relaxed TiNbTcW crystal. Source: the Alexandria database, functional GGA-PBE.

Summary:
Space group: Pmm2, No. 25

a = 2.884 Å, b = 2.974 Å, c = 8.068 Å
α = 90.00°, β = 90.00°, γ = 90.00°
Element x y z (fractional)
W 0.500 0.000 0.096
Nb 0.500 0.500 0.803
Ti 0.500 0.500 0.380
Tc 0.000 0.000 0.582


Energy above the most stable structure, in meV per atom: model 1 0; model 2 622


Model 1:
A relaxed NbTlTc3 crystal. Source: the Alexandria database, functional GGA-PBE.

Summary:
Space group: Pm-3m, No. 221

a = 4.834 Å, b = 4.834 Å, c = 4.834 Å
α = 90.00°, β = 90.00°, γ = 90.00°
Element x y z (fractional)
Tl 0.000 0.000 0.000
Nb 0.500 0.500 0.500
Tc 0.000 0.000 0.500
Tc 0.000 0.500 0.000
Tc 0.500 0.000 0.000


Model 2:
A relaxed NbTlTc3 crystal. Source: the Alexandria database, functional GGA-PBE.

Summary:
Space group: Pm-3m, No. 221

a = 4.791 Å, b = 4.791 Å, c = 4.791 Å
α = 90.00°, β = 90.00°, γ = 90.00°
Element x y z (fractional)
Tc 0.000 0.500 0.000
Tl 0.500 0.500 0.500
Nb 0.000 0.000 0.000
Tc 0.000 0.000 0.500
Tc 0.500 0.000 0.000


Energy above the most stable structure, in meV per atom: model 1 951; model 2 0


Model 1:
A relaxed NbTl2Tc crystal. Source: the Alexandria database, functional GGA-PBE.

Summary:
Space group: I-42d, No. 122

a = 7.729 Å, b = 7.729 Å, c = 6.193 Å
α = 51.39°, β = 51.39°, γ = 90.00°
Element x y z (fractional)
Tl 0.375 0.363 0.750
Tl 0.875 0.887 0.750
Tc 0.750 0.250 0.500
Tl 0.637 0.125 0.250
Tc 0.000 0.000 0.000
Nb 0.250 0.750 0.500
Nb 0.500 0.500 0.000
Tl 0.113 0.625 0.250


Model 2:
A relaxed NbTl2Tc crystal. Source: the Alexandria database, functional GGA-PBE.

Summary:
Space group: Fm-3m, No. 225

a = 4.774 Å, b = 4.774 Å, c = 4.774 Å
α = 60.00°, β = 60.00°, γ = 60.00°
Element x y z (fractional)
Nb 0.000 0.000 0.000
Tc 0.500 0.500 0.500
Tl 0.250 0.250 0.250
Tl 0.750 0.750 0.750


Energy above the most stable structure, in meV per atom: model 1 267; model 2 0


Model 1:
A relaxed NbV3Tc crystal. Source: the Alexandria database, functional GGA-PBE.

Summary:
Space group: P-1, No. 2

a = 5.166 Å, b = 6.263 Å, c = 5.093 Å
α = 110.63°, β = 87.86°, γ = 102.30°
Element x y z (fractional)
Tc 0.000 0.000 0.000
Tc 0.500 0.000 0.000
Nb 0.291 0.160 0.572
V 0.158 0.691 0.135
V 0.834 0.324 0.379
V 0.166 0.676 0.621
Nb 0.709 0.840 0.428
V 0.375 0.397 0.193
V 0.625 0.603 0.807
V 0.842 0.309 0.865


Model 2:
A relaxed NbV3Tc crystal. Source: the Alexandria database, functional GGA-PBE.

Summary:
Space group: Pm-3m, No. 221

a = 4.488 Å, b = 4.488 Å, c = 4.488 Å
α = 90.00°, β = 90.00°, γ = 90.00°
Element x y z (fractional)
Nb 0.500 0.500 0.500
V 0.000 0.000 0.500
V 0.000 0.500 0.000
V 0.500 0.000 0.000
Tc 0.000 0.000 0.000


Model 3:
A relaxed NbV3Tc crystal. Source: the Alexandria database, functional GGA-PBE.

Summary:
Space group: Pm-3m, No. 221

a = 4.545 Å, b = 4.545 Å, c = 4.545 Å
α = 90.00°, β = 90.00°, γ = 90.00°
Element x y z (fractional)
Nb 0.000 0.000 0.000
V 0.000 0.500 0.000
V 0.500 0.000 0.000
V 0.000 0.000 0.500
Tc 0.500 0.500 0.500


Model 4:
A relaxed NbV3Tc crystal. Source: the Alexandria database, functional GGA-PBE.

Summary:
Space group: C2/m, No. 12

a = 3.002 Å, b = 6.896 Å, c = 7.872 Å
α = 108.16°, β = 100.99°, γ = 90.00°
Element x y z (fractional)
Tc 0.410 0.546 0.821
V 0.227 0.629 0.453
V 0.773 0.371 0.547
Nb 0.882 0.850 0.765
Tc 0.590 0.454 0.179
V 0.688 0.900 0.376
V 0.051 0.722 0.101
Nb 0.118 0.150 0.235
V 0.949 0.278 0.899
V 0.312 0.100 0.624


Energy above the most stable structure, in meV per atom: model 1 0; model 2 1080; model 3 1673; model 4 36


Model 1:
A relaxed Nb2VTc2 crystal. Source: the Alexandria database, functional GGA-PBE.

Summary:
Space group: Cmmm, No. 65

a = 3.036 Å, b = 3.040 Å, c = 8.967 Å
α = 80.24°, β = 90.00°, γ = 90.00°
Element x y z (fractional)
V 0.000 0.000 0.000
Nb 0.000 0.819 0.362
Tc 0.500 0.584 0.832
Nb 0.000 0.181 0.638
Tc 0.500 0.416 0.168


Model 2:
A relaxed Nb2VTc2 crystal. Source: the Alexandria database, functional GGA-PBE.

Summary:
Space group: P4/mbm, No. 127

a = 7.241 Å, b = 7.241 Å, c = 3.223 Å
α = 90.00°, β = 90.00°, γ = 90.00°
Element x y z (fractional)
V 0.500 0.500 0.000
V 0.000 0.000 0.000
Tc 0.360 0.860 0.000
Tc 0.140 0.360 0.000
Nb 0.335 0.165 0.500
Tc 0.860 0.640 0.000
Tc 0.640 0.140 0.000
Nb 0.835 0.335 0.500
Nb 0.665 0.835 0.500
Nb 0.165 0.665 0.500


Energy above the most stable structure, in meV per atom: model 1 0; model 2 278


Model 1:
A relaxed NbV4Tc crystal. Source: the Alexandria database, functional GGA-PBE.

Summary:
Space group: F-43m, No. 216

a = 4.978 Å, b = 4.978 Å, c = 4.978 Å
α = 60.00°, β = 60.00°, γ = 60.00°
Element x y z (fractional)
V 0.124 0.625 0.625
Nb 0.250 0.250 0.250
Tc 0.000 0.000 0.000
V 0.625 0.625 0.625
V 0.625 0.625 0.124
V 0.625 0.124 0.625


Model 2:
A relaxed NbV4Tc crystal. Source: the Alexandria database, functional GGA-PBE.

Summary:
Space group: P-1, No. 2

a = 5.104 Å, b = 9.032 Å, c = 5.096 Å
α = 104.48°, β = 63.45°, γ = 124.49°
Element x y z (fractional)
V 0.362 0.080 0.961
V 0.638 0.920 0.039
Tc 0.874 0.750 0.124
Nb 0.628 0.250 0.378
V 0.882 0.086 0.470
V 0.380 0.420 0.281
V 0.117 0.586 0.205
Nb 0.372 0.750 0.622
V 0.118 0.914 0.530
V 0.620 0.580 0.719
Tc 0.126 0.250 0.876
V 0.883 0.414 0.795


Model 3:
A relaxed NbV4Tc crystal. Source: the Alexandria database, functional GGA-PBE.

Summary:
Space group: Cmc2_1, No. 36

a = 4.451 Å, b = 4.984 Å, c = 8.435 Å
α = 90.00°, β = 105.30°, γ = 90.00°
Element x y z (fractional)
V 0.842 0.205 0.683
V 0.158 0.705 0.317
Nb 0.055 0.193 0.109
V 0.678 0.022 0.356
V 0.322 0.522 0.644
V 0.381 0.969 0.762
V 0.768 0.644 0.536
Tc 0.463 0.400 0.926
Tc 0.537 0.900 0.074
V 0.232 0.144 0.464
Nb 0.945 0.693 0.891
V 0.619 0.469 0.238


Energy above the most stable structure, in meV per atom: model 1 77; model 2 0; model 3 334


Model 1:
A relaxed NbVTc3 crystal. Source: the Alexandria database, functional GGA-PBE.

Summary:
Space group: Pm-3m, No. 221

a = 4.679 Å, b = 4.679 Å, c = 4.679 Å
α = 90.00°, β = 90.00°, γ = 90.00°
Element x y z (fractional)
V 0.500 0.500 0.500
Tc 0.000 0.000 0.500
Nb 0.000 0.000 0.000
Tc 0.000 0.500 0.000
Tc 0.500 0.000 0.000


Model 2:
A relaxed NbVTc3 crystal. Source: the Alexandria database, functional GGA-PBE.

Summary:
Space group: Pm-3m, No. 221

a = 4.422 Å, b = 4.422 Å, c = 4.422 Å
α = 90.00°, β = 90.00°, γ = 90.00°
Element x y z (fractional)
Tc 0.500 0.000 0.000
Tc 0.000 0.000 0.500
Tc 0.000 0.500 0.000
V 0.000 0.000 0.000
Nb 0.500 0.500 0.500


Energy above the most stable structure, in meV per atom: model 1 879; model 2 0


Model 1:
A relaxed Nb3VTc crystal. Source: the Alexandria database, functional GGA-PBE.

Summary:
Space group: Pm-3m, No. 221

a = 4.581 Å, b = 4.581 Å, c = 4.581 Å
α = 90.00°, β = 90.00°, γ = 90.00°
Element x y z (fractional)
Tc 0.500 0.500 0.500
V 0.000 0.000 0.000
Nb 0.000 0.500 0.000
Nb 0.000 0.000 0.500
Nb 0.500 0.000 0.000


Model 2:
A relaxed Nb3VTc crystal. Source: the Alexandria database, functional GGA-PBE.

Summary:
Space group: C2/m, No. 12

a = 4.521 Å, b = 7.021 Å, c = 5.560 Å
α = 82.63°, β = 90.00°, γ = 108.78°
Element x y z (fractional)
V 0.404 0.808 0.451
Nb 0.797 0.593 0.649
V 0.596 0.192 0.549
Nb 0.203 0.407 0.351
Tc 0.799 0.599 0.153
Nb 0.604 0.209 0.051
Nb 0.006 0.012 0.745
Tc 0.201 0.401 0.847
Nb 0.994 0.988 0.255
Nb 0.396 0.791 0.949


Energy above the most stable structure, in meV per atom: model 1 1341; model 2 0


Model 1:
A relaxed Nb2VTc crystal. Source: the Alexandria database, functional GGA-PBE.

Summary:
Space group: Immm, No. 71

a = 5.832 Å, b = 5.832 Å, c = 5.832 Å
α = 54.71°, β = 150.09°, γ = 135.31°
Element x y z (fractional)
V 0.000 0.000 0.000
Nb 0.000 0.748 0.748
Tc 0.000 0.500 0.500
Nb 0.000 0.252 0.252


Model 2:
A relaxed Nb2VTc crystal. Source: the Alexandria database, functional GGA-PBE.

Summary:
Space group: P4/mmm, No. 123

a = 3.173 Å, b = 3.173 Å, c = 6.384 Å
α = 90.00°, β = 90.00°, γ = 90.00°
Element x y z (fractional)
Nb 0.000 0.000 0.749
V 0.500 0.500 0.500
Nb 0.000 0.000 0.251
Tc 0.500 0.500 0.000


Energy above the most stable structure, in meV per atom: model 1 807; model 2 0


Model 1:
A relaxed Nb2VTc crystal. Source: the Alexandria database, functional GGA-PBE.

Summary:
Space group: P4/mmm, No. 123

a = 3.186 Å, b = 4.492 Å, c = 4.492 Å
α = 90.00°, β = 90.00°, γ = 90.00°
Element x y z (fractional)
Tc 0.500 0.000 0.000
V 0.500 0.500 0.500
Nb 0.000 0.500 0.000
Nb 0.000 0.000 0.500


Model 2:
A relaxed Nb2VTc crystal. Source: the Alexandria database, functional GGA-PBE.

Summary:
Space group: I-42d, No. 122

a = 7.121 Å, b = 7.121 Å, c = 5.725 Å
α = 51.55°, β = 51.55°, γ = 90.00°
Element x y z (fractional)
Nb 0.116 0.625 0.250
Nb 0.375 0.366 0.750
Nb 0.634 0.125 0.250
Nb 0.875 0.884 0.750
V 0.500 0.500 0.000
Tc 0.750 0.250 0.500
V 0.250 0.750 0.500
Tc 0.000 0.000 0.000


Energy above the most stable structure, in meV per atom: model 1 0; model 2 709


Model 1:
A relaxed Nb6VTc crystal. Source: the Alexandria database, functional GGA-PBE.

Summary:
Space group: I4/mmm, No. 139

a = 4.583 Å, b = 4.583 Å, c = 7.298 Å
α = 71.70°, β = 71.70°, γ = 90.00°
Element x y z (fractional)
Nb 0.254 0.254 0.492
Nb 0.380 0.880 0.240
V 0.500 0.500 0.000
Tc 0.000 0.000 0.000
Nb 0.746 0.746 0.508
Nb 0.120 0.620 0.760
Nb 0.620 0.120 0.760
Nb 0.880 0.380 0.240


Model 2:
A relaxed Nb6VTc crystal. Source: the Alexandria database, functional GGA-PBE.

Summary:
Space group: R-3m, No. 166

a = 5.766 Å, b = 5.766 Å, c = 5.766 Å
α = 110.60°, β = 110.60°, γ = 110.60°
Element x y z (fractional)
Nb 0.750 0.250 0.750
Nb 0.750 0.750 0.250
V 0.500 0.500 0.500
Nb 0.250 0.750 0.250
Nb 0.250 0.750 0.750
Nb 0.750 0.250 0.250
Nb 0.250 0.250 0.750
Tc 0.000 0.000 0.000


Energy above the most stable structure, in meV per atom: model 1 0; model 2 234